# BeTlAgO3 PBE-GGA optimized geometry
data_BeTlAgO3
_cell_length_a 3.145
_cell_length_b 10.615
_cell_length_c 9.952
_cell_angle_alpha 90.00
_cell_angle_beta 90.00
_cell_angle_gamma 90.00
_space_group_name_H-M_alt 'C m c m'
_space_group_IT_number 63
_space_group_name_Hall '-C 2c 2'
loop_
_atom_site_label
_atom_site_fract_x
_atom_site_fract_y
_atom_site_fract_z
Be1 0.000 0.018 0.250
Tl1 0.000 0.500 0.000
Ag1 0.000 0.247 0.750
O1 0.000 0.105 0.113
O2 0.000 0.439 0.250
# Raw formation energy: -93 kJ/mol of atoms

# NbVNi6 PBE-GGA optimized geometry
data_NbVNi6
_cell_length_a 3.638
_cell_length_b 3.638
_cell_length_c 7.247
_cell_angle_alpha 90.00
_cell_angle_beta 90.00
_cell_angle_gamma 90.00
_space_group_name_H-M_alt 'P 4/m m m'
_space_group_IT_number 123
_space_group_name_Hall '-P 4 2'
loop_
_atom_site_label
_atom_site_fract_x
_atom_site_fract_y
_atom_site_fract_z
Nb1 0.000 0.000 0.000
V1 0.000 0.000 0.500
Ni1 0.000 0.500 0.255
Ni2 0.500 0.500 0.000
Ni3 0.500 0.500 0.500
# Relative energy among the computed polymorphs: 98 meV per atom
# Energy relative to the elements: -0.16 eV/atom

# Re2SnPt PBE-GGA optimized geometry
data_Re2SnPt
_cell_length_a 5.934
_cell_length_b 5.934
_cell_length_c 11.416
_cell_angle_alpha 90.00
_cell_angle_beta 90.00
_cell_angle_gamma 90.00
_space_group_name_H-M_alt 'I -4 2 d'
_space_group_IT_number 122
_space_group_name_Hall 'I -4 2bw'
loop_
_atom_site_label
_atom_site_fract_x
_atom_site_fract_y
_atom_site_fract_z
Re1 0.214 0.250 0.125
Sn1 0.000 0.000 0.500
Pt1 0.000 0.000 0.000
# Energy relative to the elements: 1.49 eV/atom

# KRbGa2 PBE-GGA optimized geometry
data_KRbGa2
_cell_length_a 9.719
_cell_length_b 9.719
_cell_length_c 6.408
_cell_angle_alpha 90.00
_cell_angle_beta 90.00
_cell_angle_gamma 90.00
_space_group_name_H-M_alt 'I -4 2 d'
_space_group_IT_number 122
_space_group_name_Hall 'I -4 2bw'
loop_
_atom_site_label
_atom_site_fract_x
_atom_site_fract_y
_atom_site_fract_z
K1 0.000 0.000 0.000
Rb1 0.000 0.000 0.500
Ga1 0.242 0.250 0.125
# Relative energy among the computed polymorphs: 424 meV per atom
# Energy relative to the elements: 0.34 eV/atom

# MnCr3H PBE-GGA optimized geometry
data_MnCr3H
_cell_length_a 4.188
_cell_length_b 4.188
_cell_length_c 4.188
_cell_angle_alpha 90.00
_cell_angle_beta 90.00
_cell_angle_gamma 90.00
_space_group_name_H-M_alt 'P m -3 m'
_space_group_IT_number 221
_space_group_name_Hall '-P 4 2 3'
loop_
_atom_site_label
_atom_site_fract_x
_atom_site_fract_y
_atom_site_fract_z
Mn1 0.000 0.000 0.000
Cr1 0.000 0.000 0.500
H1 0.500 0.500 0.500
# Relative energy among the computed polymorphs: 1638 meV per atom

# Er4PS2 PBE-GGA optimized geometry
data_Er4PS2
_cell_length_a 14.460
_cell_length_b 3.841
_cell_length_c 6.541
_cell_angle_alpha 90.00
_cell_angle_beta 116.39
_cell_angle_gamma 90.00
_space_group_name_H-M_alt 'C 1 2/m 1'
_space_group_IT_number 12
loop_
_space_group_symop_operation_xyz
'x,y,z'
'-x,-y,-z'
'-x,y,-z'
'x,-y,z'
'x+1/2,y+1/2,z'
'-x+1/2,-y+1/2,-z'
'-x+1/2,y+1/2,-z'
'x+1/2,-y+1/2,z'
loop_
_atom_site_label
_atom_site_fract_x
_atom_site_fract_y
_atom_site_fract_z
Er1 0.122 0.000 0.455
Er2 0.124 0.500 0.962
P1 0.000 0.000 0.000
S1 0.243 0.500 0.739
# Raw formation energy: -147 kJ/mol of atoms

# NaZnIn2 PBE-GGA optimized geometry
data_NaZnIn2
_cell_length_a 4.6525
_cell_length_b 4.6525
_cell_length_c 16.7322
_cell_angle_alpha 90.00
_cell_angle_beta 90.00
_cell_angle_gamma 120.00
_space_group_name_H-M_alt 'R -3 m'
_space_group_IT_number 166
_space_group_name_Hall '-R 3 2"'
loop_
_atom_site_label
_atom_site_fract_x
_atom_site_fract_y
_atom_site_fract_z
Na1 0.0000 0.0000 0.0000
Zn1 0.0000 0.0000 0.5000
In1 0.0000 0.0000 0.2233
# Energy relative to the elements: 0.00 eV/atom

# Hf4FeOs2 PBE-GGA optimized geometry
data_Hf4FeOs2
_cell_length_a 6.396
_cell_length_b 6.396
_cell_length_c 6.417
_cell_angle_alpha 90.00
_cell_angle_beta 90.00
_cell_angle_gamma 90.00
_space_group_name_H-M_alt 'I 4/m m m'
_space_group_IT_number 139
_space_group_name_Hall '-I 4 2'
loop_
_atom_site_label
_atom_site_fract_x
_atom_site_fract_y
_atom_site_fract_z
Hf1 0.250 0.250 0.250
Fe1 0.000 0.000 0.000
Os1 0.000 0.500 0.000
# Energy relative to the elements: -0.37 eV/atom

# Fe2PdAu2 PBE-GGA optimized geometry
data_Fe2PdAu2
_cell_length_a 7.448
_cell_length_b 7.448
_cell_length_c 2.858
_cell_angle_alpha 90.00
_cell_angle_beta 90.00
_cell_angle_gamma 90.00
_space_group_name_H-M_alt 'P 4/m b m'
_space_group_IT_number 127
_space_group_name_Hall '-P 4 2ab'
loop_
_atom_site_label
_atom_site_fract_x
_atom_site_fract_y
_atom_site_fract_z
Fe1 0.114 0.386 0.000
Pd1 0.000 0.000 0.000
Au1 0.179 0.679 0.500
# Energy relative to the elements: 0.20 eV/atom

# Ag3Cl2F2 PBE-GGA optimized geometry
data_Ag3Cl2F2
_cell_length_a 6.824
_cell_length_b 7.540
_cell_length_c 6.193
_cell_angle_alpha 90.00
_cell_angle_beta 114.95
_cell_angle_gamma 90.00
_space_group_name_H-M_alt 'P 1 21/c 1'
_space_group_IT_number 14
loop_
_space_group_symop_operation_xyz
'x,y,z'
'-x,-y,-z'
'-x,y+1/2,-z+1/2'
'x,-y+1/2,z+1/2'
loop_
_atom_site_label
_atom_site_fract_x
_atom_site_fract_y
_atom_site_fract_z
Ag1 0.000 0.000 0.000
Ag2 0.469 0.139 0.715
Cl1 0.254 0.620 0.327
F1 0.277 0.114 0.305
# Relative energy among the computed polymorphs: 11 meV per atom
# Raw formation energy: -72 kJ/mol of atoms

# SbPSe PBE-GGA optimized geometry
data_SbPSe
_cell_length_a 6.669
_cell_length_b 6.669
_cell_length_c 6.669
_cell_angle_alpha 90.00
_cell_angle_beta 90.00
_cell_angle_gamma 90.00
_space_group_name_H-M_alt 'P 21 3'
_space_group_IT_number 198
_space_group_name_Hall 'P 2ac 2ab 3'
loop_
_atom_site_label
_atom_site_fract_x
_atom_site_fract_y
_atom_site_fract_z
Sb1 0.112 0.112 0.112
P1 0.014 0.986 0.486
Se1 0.114 0.386 0.614
# Relative energy among the computed polymorphs: 179 meV per atom
# Raw formation energy: 16 kJ/mol of atoms

# Ce2SeBr2Cl PBE-GGA optimized geometry
data_Ce2SeBr2Cl
_cell_length_a 4.343
_cell_length_b 9.448
_cell_length_c 7.909
_cell_angle_alpha 90.00
_cell_angle_beta 90.00
_cell_angle_gamma 90.00
_space_group_name_H-M_alt 'P m c 21'
_space_group_IT_number 26
loop_
_space_group_symop_operation_xyz
'x,y,z'
'-x,-y,z+1/2'
'-x,y,z'
'x,-y,z+1/2'
loop_
_atom_site_label
_atom_site_fract_x
_atom_site_fract_y
_atom_site_fract_z
Ce1 0.000 0.092 0.000
Ce2 0.500 0.357 0.512
Se1 0.500 0.077 0.714
Br1 0.000 0.417 0.780
Br2 0.500 0.320 0.104
Cl1 0.000 0.194 0.381
# Raw formation energy: -172 kJ/mol of atoms

# Ni14PtAu PBE-GGA optimized geometry
data_Ni14PtAu
_cell_length_a 8.281
_cell_length_b 5.183
_cell_length_c 8.794
_cell_angle_alpha 90.00
_cell_angle_beta 90.00
_cell_angle_gamma 90.00
_space_group_name_H-M_alt 'A m m 2'
_space_group_IT_number 38
loop_
_space_group_symop_operation_xyz
'x,y,z'
'-x,-y,z'
'-x,y,z'
'x,-y,z'
'x,y+1/2,z+1/2'
'-x,-y+1/2,z+1/2'
'-x,y+1/2,z+1/2'
'x,-y+1/2,z+1/2'
loop_
_atom_site_label
_atom_site_fract_x
_atom_site_fract_y
_atom_site_fract_z
Ni1 0.000 0.000 0.000
Ni2 0.000 0.000 0.500
Ni3 0.000 0.249 0.249
Ni4 0.237 0.247 0.421
Ni5 0.240 0.000 0.665
Ni6 0.244 0.000 0.166
Ni7 0.500 0.250 0.087
Pt1 0.500 0.000 0.338
Au1 0.500 0.000 0.838
# Energy relative to the elements: 0.06 eV/atom

# LaPmPd PBE-GGA optimized geometry
data_LaPmPd
_cell_length_a 7.170
_cell_length_b 7.170
_cell_length_c 7.170
_cell_angle_alpha 90.00
_cell_angle_beta 90.00
_cell_angle_gamma 90.00
_space_group_name_H-M_alt 'F -4 3 m'
_space_group_IT_number 216
_space_group_name_Hall 'F -4 2 3'
loop_
_atom_site_label
_atom_site_fract_x
_atom_site_fract_y
_atom_site_fract_z
La1 0.000 0.000 0.000
Pm1 0.000 0.000 0.500
Pd1 0.250 0.250 0.250
# Relative energy among the computed polymorphs: 119 meV per atom
# Energy relative to the elements: -0.38 eV/atom

# Nd4CdRh PBE-GGA optimized geometry
data_Nd4CdRh
_cell_length_a 14.054
_cell_length_b 14.054
_cell_length_c 14.054
_cell_angle_alpha 90.00
_cell_angle_beta 90.00
_cell_angle_gamma 90.00
_space_group_name_H-M_alt 'F -4 3 m'
_space_group_IT_number 216
_space_group_name_Hall 'F -4 2 3'
loop_
_atom_site_label
_atom_site_fract_x
_atom_site_fract_y
_atom_site_fract_z
Nd1 0.000 0.000 0.187
Nd2 0.060 0.250 0.750
Nd3 0.099 0.099 0.401
Cd1 0.170 0.170 0.170
Rh1 0.108 0.108 0.608
# Relative energy among the computed polymorphs: 0 meV per atom
# Energy relative to the elements: -0.43 eV/atom

# Ni2HgPt PBE-GGA optimized geometry
data_Ni2HgPt
_cell_length_a 2.8318
_cell_length_b 2.8318
_cell_length_c 25.7252
_cell_angle_alpha 90.00
_cell_angle_beta 90.00
_cell_angle_gamma 120.00
_space_group_name_H-M_alt 'R -3 m'
_space_group_IT_number 166
_space_group_name_Hall '-R 3 2"'
loop_
_atom_site_label
_atom_site_fract_x
_atom_site_fract_y
_atom_site_fract_z
Ni1 0.0000 0.0000 0.2461
Hg1 0.0000 0.0000 0.0000
Pt1 0.0000 0.0000 0.5000
# Energy relative to the elements: 0.19 eV/atom

# LaDy2TmHg4 PBE-GGA optimized geometry
data_LaDy2TmHg4
_cell_length_a 5.2879
_cell_length_b 5.2879
_cell_length_c 26.4147
_cell_angle_alpha 90.00
_cell_angle_beta 90.00
_cell_angle_gamma 120.00
_space_group_name_H-M_alt 'R -3 m'
_space_group_IT_number 166
_space_group_name_Hall '-R 3 2"'
loop_
_atom_site_label
_atom_site_fract_x
_atom_site_fract_y
_atom_site_fract_z
La1 0.0000 0.0000 0.0000
Dy1 0.0000 0.0000 0.2482
Tm1 0.0000 0.0000 0.5000
Hg1 0.0000 0.0000 0.1281
Hg2 0.0000 0.0000 0.3807
# Energy relative to the elements: -0.47 eV/atom

# TlSnI6 PBE-GGA optimized geometry
data_TlSnI6
_cell_length_a 7.554
_cell_length_b 7.562
_cell_length_c 8.296
_cell_angle_alpha 90.01
_cell_angle_beta 117.05
_cell_angle_gamma 119.95
_space_group_name_H-M_alt 'P -1'
_space_group_IT_number 2
loop_
_space_group_symop_operation_xyz
'x,y,z'
'-x,-y,-z'
loop_
_atom_site_label
_atom_site_fract_x
_atom_site_fract_y
_atom_site_fract_z
Tl1 0.000 0.000 0.000
Sn1 0.000 0.500 0.500
I1 0.174 0.449 0.265
I2 0.184 0.275 0.734
I3 0.458 0.907 0.734
# Raw formation energy: -23 kJ/mol of atoms

# Na10SrSn12 PBE-GGA optimized geometry
data_Na10SrSn12
_cell_length_a 11.312
_cell_length_b 11.312
_cell_length_c 11.312
_cell_angle_alpha 90.00
_cell_angle_beta 90.00
_cell_angle_gamma 90.00
_space_group_name_H-M_alt 'I -4 3 m'
_space_group_IT_number 217
_space_group_name_Hall 'I -4 2 3'
loop_
_atom_site_label
_atom_site_fract_x
_atom_site_fract_y
_atom_site_fract_z
Na1 0.000 0.250 0.500
Na2 0.193 0.193 0.807
Sr1 0.000 0.000 0.000
Sn1 0.092 0.092 0.281
# Energy relative to the elements: -0.27 eV/atom

# LiCa2Ce3Se6 PBE-GGA optimized geometry
data_LiCa2Ce3Se6
_cell_length_a 7.229
_cell_length_b 12.522
_cell_length_c 7.333
_cell_angle_alpha 90.00
_cell_angle_beta 109.23
_cell_angle_gamma 90.00
_space_group_name_H-M_alt 'C 1 2/m 1'
_space_group_IT_number 12
loop_
_space_group_symop_operation_xyz
'x,y,z'
'-x,-y,-z'
'-x,y,-z'
'x,-y,z'
'x+1/2,y+1/2,z'
'-x+1/2,-y+1/2,-z'
'-x+1/2,y+1/2,-z'
'x+1/2,-y+1/2,z'
loop_
_atom_site_label
_atom_site_fract_x
_atom_site_fract_y
_atom_site_fract_z
Li1 0.000 0.000 0.000
Ca1 0.000 0.334 0.000
Ce1 0.000 0.167 0.500
Ce2 0.000 0.500 0.500
Se1 0.245 0.164 0.242
Se2 0.248 0.000 0.757
# Raw formation energy: -172 kJ/mol of atoms

Number 1: total magnetization 0.00 μB per formula unit, V 13.85 A^3/atom. Number 2: total magnetization 2.11 μB per formula unit, V 11.99 A^3/atom. Number 3: total magnetization 0.00 μB per formula unit, V 25.13 A^3/atom. Number 4: total magnetization 0.00 μB per formula unit, V 37.83 A^3/atom. Number 5: total magnetization 0.00 μB per formula unit, V 14.69 A^3/atom. Number 6: total magnetization 0.00 μB per formula unit, V 23.24 A^3/atom. Number 7: total magnetization 0.00 μB per formula unit, V 26.14 A^3/atom. Number 8: total magnetization 0.00 μB per formula unit, V 18.75 A^3/atom. Number 9: total magnetization 6.21 μB per formula unit, V 15.85 A^3/atom. Number 10: total magnetization 0.00 μB per formula unit, V 20.63 A^3/atom. Number 11: total magnetization 0.00 μB per formula unit, V 24.72 A^3/atom. Number 12: total magnetization 2.82 μB per formula unit, V 27.04 A^3/atom. Number 13: total magnetization 9.82 μB per formula unit, V 11.80 A^3/atom. Number 14: total magnetization 0.00 μB per formula unit, V 30.72 A^3/atom. Number 15: total magnetization 0.00 μB per formula unit, V 28.92 A^3/atom. Number 16: total magnetization 1.45 μB per formula unit, V 14.89 A^3/atom. Number 17: total magnetization 0.59 μB per formula unit, V 26.65 A^3/atom. Number 18: total magnetization 0.00 μB per formula unit, V 43.69 A^3/atom. Number 19: total magnetization 0.00 μB per formula unit, V 31.46 A^3/atom. Number 20: total magnetization 3.92 μB per formula unit, V 26.12 A^3/atom.